## Cs2NaF3 (PBE)

Data for a geometry-optimized Cs2NaF3 structure.

Unit cell a=7.2036 b=7.2036 c=13.9493 alpha=90.00 beta=90.00 gamma=126.39
Closest atoms and distances in Å follow each position.
Atoms (fractional coordinates):
Cs 0.0313 0.9687 0.8468  3 F 2.93-2.99
Cs 0.1423 0.8577 0.4287  7 F 2.98-3.30
Cs 0.3577 0.6423 0.9287  7 F 2.98-3.30
Cs 0.4687 0.5313 0.3468  3 F 2.93-2.99
Cs 0.5313 0.4687 0.6532  3 F 2.93-2.99
Cs 0.6423 0.3577 0.0713  7 F 2.98-3.30
Cs 0.8577 0.1423 0.5713  7 F 2.98-3.30
Cs 0.9687 0.0313 0.1532  3 F 2.93-2.99
Na 0.2448 0.7552 0.1657  4 F 2.20-2.24
Na 0.2552 0.7448 0.6657  4 F 2.20-2.24
Na 0.7448 0.2552 0.3343  4 F 2.20-2.24
Na 0.7552 0.2448 0.8343  4 F 2.20-2.24
F 0.0747 0.4253 0.7500  2 Na 2.20
F 0.0843 0.9157 0.6410  1 Na 2.22
F 0.1532 0.8468 0.0293  1 Na 2.24
F 0.3468 0.6532 0.5293  1 Na 2.24
F 0.4157 0.5843 0.1410  1 Na 2.22
F 0.4253 0.0747 0.2500  2 Na 2.20
F 0.5747 0.9253 0.7500  2 Na 2.20
F 0.5843 0.4157 0.8590  1 Na 2.22
F 0.6532 0.3468 0.4707  1 Na 2.24
F 0.8468 0.1532 0.9707  1 Na 2.24
F 0.9157 0.0843 0.3590  1 Na 2.22
F 0.9253 0.5747 0.2500  2 Na 2.20

* excess energy over the best structure of this formula in the dataset: 0 meV/atom
* magnetic moment: 0.0251 μB per atom